[1]
A plane-wave DFT calculation with PBE was carried out for a relaxed structure of CsPdN2.

Calculated values
The space group is Fm-3m, No. 225. For the uncorrected formation energy, the calculation gives 2260 meV/atom. For the calculated volume, the calculation gives 61.7 Å³/cell. The theoretical density is 7.19 g cm⁻³. The calculation puts the density of states at the Fermi level at 3.9 states/eV/f.u. The total energy is -3.4138 eV/atom.

Cell lengths 4.436, 4.436, 4.436 Å; angles 60.00, 60.00, 60.00 degrees
Positions (direct):
1 Cs 0.500 0.500 0.500
2 Pd 0.000 0.000 0.000
3 N 0.250 0.250 0.250
4 N 0.750 0.750 0.750


[2]
A plane-wave DFT calculation with PBE was carried out for a relaxed structure of Y2FeHIr.

Calculated values
The space group is P4/mmm, No. 123. For the calculated volume, the calculation gives 81.3 Å³/cell. The theoretical density is 8.71 g cm⁻³. The calculation puts the density of states at the Fermi level at 4.5 states/eV/f.u. The total energy is -7.1277 eV/atom.

Cell lengths 4.857, 4.857, 3.449 Å; angles 90.00, 90.00, 90.00 degrees
Positions (direct):
1 Y 0.000 0.500 0.000
2 Y 0.500 0.000 0.000
3 H 0.000 0.000 0.000
4 Ir 0.500 0.500 0.500
5 Fe 0.000 0.000 0.500


[3]
A plane-wave DFT calculation with PBE was carried out for a relaxed structure of Ni5H4.

Calculated values
The space group is I4/m, No. 87. For the calculated volume, the calculation gives 62.4 Å³/cell. The theoretical density is 7.92 g cm⁻³. The calculation puts the density of states at the Fermi level at 6.6 states/eV/f.u. The total energy is -4.7433 eV/atom.

Cell lengths 3.694, 4.505, 4.505 Å; angles 80.32, 65.80, 65.80 degrees
Positions (direct):
1 Ni 0.500 0.000 0.000
2 Ni 0.102 0.599 0.196
3 Ni 0.298 0.804 0.599
4 Ni 0.702 0.196 0.401
5 Ni 0.898 0.401 0.804
6 H 0.202 0.200 0.396
7 H 0.598 0.604 0.200
8 H 0.402 0.396 0.800
9 H 0.798 0.800 0.604


[4]
A plane-wave DFT calculation with PBE was carried out for a relaxed structure of Zn2Sn2As.

Calculated values
The space group is P4/mbm, No. 127. For the calculated volume, the calculation gives 222.1 Å³/cell. The theoretical density is 6.63 g cm⁻³. The calculation puts the density of states at the Fermi level at 2.8 states/eV/f.u. The total energy is -2.8538 eV/atom.

Cell lengths 8.271, 8.271, 3.247 Å; angles 90.00, 90.00, 90.00 degrees
Positions (direct):
1 Zn 0.109 0.609 0.500
2 Zn 0.609 0.891 0.500
3 Zn 0.891 0.391 0.500
4 Zn 0.391 0.109 0.500
5 As 0.000 0.000 0.000
6 As 0.500 0.500 0.000
7 Sn 0.306 0.806 0.000
8 Sn 0.806 0.694 0.000
9 Sn 0.694 0.194 0.000
10 Sn 0.194 0.306 0.000


[5]
A plane-wave DFT calculation with PBE was carried out for a relaxed structure of ScZn2Sb.

Calculated values
The space group is P2/m, No. 10. For the uncorrected formation energy, the calculation gives -211 meV/atom. For the calculated volume, the calculation gives 80.3 Å³/cell. The theoretical density is 6.15 g cm⁻³. The calculation puts the density of states at the Fermi level at 1.9 states/eV/f.u. The total energy is -3.4614 eV/atom.

Cell lengths 4.870, 3.101, 5.318 Å; angles 89.81, 90.00, 90.00 degrees
Positions (direct):
1 Sb 0.500 0.250 0.250
2 Sc 0.500 0.750 0.750
3 Zn 0.000 0.257 0.981
4 Zn 0.000 0.243 0.519


[6]
A plane-wave DFT calculation with PBE was carried out for a relaxed structure of Na2UNiS5.

Calculated values
The space group is Cmc2_1, No. 36. For the uncorrected formation energy, the calculation gives -927 meV/atom. For the calculated volume, the calculation gives 427.8 Å³/cell. The theoretical density is 3.90 g cm⁻³. The calculation puts the density of states at the Fermi level at 4.6 states/eV/f.u. The total energy is -5.4100 eV/atom.

Cell lengths 3.940, 9.011, 12.349 Å; angles 90.00, 90.00, 102.63 degrees
Positions (direct):
1 Na 0.890 0.779 0.861
2 Na 0.069 0.138 0.665
3 Na 0.110 0.221 0.361
4 Na 0.931 0.862 0.165
5 U 0.789 0.578 0.532
6 U 0.211 0.422 0.032
7 Ni 0.591 0.181 0.902
8 Ni 0.409 0.819 0.402
9 S 0.351 0.703 0.036
10 S 0.716 0.432 0.893
11 S 0.495 0.990 0.795
12 S 0.310 0.620 0.666
13 S 0.933 0.866 0.474
14 S 0.649 0.297 0.536
15 S 0.284 0.568 0.393
16 S 0.505 0.010 0.295
17 S 0.690 0.380 0.166
18 S 0.067 0.134 0.974